#w
Computed, not measured: an optimized crystal structure of PmPaIr at the GGA-PBE level of DFT.

Lattice parameters (Å, degrees): 6.1228 6.1228 6.1228 145.69 145.69 49.31
Closest atoms and distances in Å follow each position.
Sites, in units of the cell vectors:
Pm  0.0000  0.0000  0.0000  5 Pa 3.31-3.41, 5 Ir 3.33-3.42, 4 Pm 3.61
Pa  0.2971  0.2971  0.0000  4 Ir 2.81
Ir  0.6923  0.6923  0.0000  4 Pa 2.81

## Properties
Total magnetization: 0.00 Bohr magnetons per cell
DOS at the Fermi energy: 3.66 states/eV/f.u.


#x
Computed, not measured: an optimized crystal structure of PmPaIr at the GGA-PBE level of DFT.

Lattice parameters (Å, degrees): 7.1698 7.1698 6.1552 111.12 111.12 32.65
Closest atoms and distances in Å follow each position.
Sites, in units of the cell vectors:
Pm  0.1397  0.1397  0.2813  3 Ir 2.95-3.08
Pm  0.8603  0.8603  0.7187  3 Ir 2.95-3.08
Pa  0.4124  0.4124  0.2826  2 Ir 2.69, 1 Pa 2.85
Pa  0.5876  0.5876  0.7174  2 Ir 2.69, 1 Pa 2.85
Ir  0.2271  0.2271  0.8211  2 Pa 2.69, 2 Ir 2.87, 2 Pm 2.95
Ir  0.7729  0.7729  0.1789  2 Pa 2.69, 2 Ir 2.87, 2 Pm 2.95

## Properties
Total magnetization: 0.23 Bohr magnetons per cell
DOS at the Fermi energy: 4.67 states/eV/f.u.


Order from most stable to least stable according to the calculation: #w, #x


#w
Computed, not measured: an optimized crystal structure of PmPaIr2 at the GGA-PBE level of DFT.

Lattice parameters (Å, degrees): 7.2369 7.2369 7.2369 31.92 31.92 31.92
Closest atoms and distances in Å follow each position.
Sites, in units of the cell vectors:
Pm  0.0000  0.0000  0.0000  6 Ir 2.97
Pa  0.5000  0.5000  0.5000  6 Ir 2.77
Ir  0.2422  0.2422  0.2422  3 Pa 2.77, 3 Pm 2.97
Ir  0.7578  0.7578  0.7578  3 Pa 2.77, 3 Pm 2.97

## Properties
Total magnetization: 0.00 Bohr magnetons per cell
DOS at the Fermi energy: 1.93 states/eV/f.u.


#x
Computed, not measured: an optimized crystal structure of PmPaIr2 at the GGA-PBE level of DFT.

Lattice parameters (Å, degrees): 4.3149 5.7522 7.6168 90.00 90.00 90.00
Closest atoms and distances in Å follow each position.
Sites, in units of the cell vectors:
Pm  0.2500  0.2500  0.0795  6 Ir 2.98-3.03
Pm  0.7500  0.7500  0.9205  6 Ir 2.98-3.03
Pa  0.2500  0.7500  0.4171  6 Ir 2.78-2.82
Pa  0.7500  0.2500  0.5829  6 Ir 2.78-2.82
Ir  0.2500  0.0011  0.7287  3 Pa 2.78-2.82, 2 Ir 2.86-2.89, 3 Pm 2.98-3.03
Ir  0.2500  0.4989  0.7287  3 Pa 2.78-2.82, 2 Ir 2.86-2.89, 3 Pm 2.98-3.03
Ir  0.7500  0.5011  0.2713  3 Pa 2.78-2.82, 2 Ir 2.86-2.89, 3 Pm 2.98-3.03
Ir  0.7500  0.9989  0.2713  3 Pa 2.78-2.82, 2 Ir 2.86-2.89, 3 Pm 2.98-3.03

## Properties
Total magnetization: 0.00 Bohr magnetons per cell
DOS at the Fermi energy: 2.46 states/eV/f.u.


#y
Computed, not measured: an optimized crystal structure of PmPaIr2 at the GGA-PBE level of DFT.

Lattice parameters (Å, degrees): 3.5000 3.5000 7.1219 90.00 90.00 90.00
Closest atoms and distances in Å follow each position.
Sites, in units of the cell vectors:
Pm  0.0000  0.0000  0.0000  8 Ir 3.22, 4 Pm 3.50, 2 Pa 3.56
Pa  0.0000  0.0000  0.5000  8 Ir 2.90
Ir  0.5000  0.5000  0.2886  4 Pa 2.90, 1 Ir 3.01, 4 Pm 3.22
Ir  0.5000  0.5000  0.7114  4 Pa 2.90, 1 Ir 3.01, 4 Pm 3.22

## Properties
Total magnetization: 0.00 Bohr magnetons per cell
DOS at the Fermi energy: 3.10 states/eV/f.u.


#z
Computed, not measured: an optimized crystal structure of PmPaIr2 at the GGA-PBE level of DFT.

Lattice parameters (Å, degrees): 4.9326 4.9326 4.9326 60.00 60.00 60.00
Closest atoms and distances in Å follow each position.
Sites, in units of the cell vectors:
Pm  0.0000  0.0000  0.0000  8 Ir 3.02
Pa  0.5000  0.5000  0.5000  8 Ir 3.02
Ir  0.2500  0.2500  0.2500  4 Pa 3.02, 4 Pm 3.02
Ir  0.7500  0.7500  0.7500  4 Pa 3.02, 4 Pm 3.02

## Properties
Total magnetization: 0.13 Bohr magnetons per cell
DOS at the Fermi energy: 4.96 states/eV/f.u.


Order from most stable to least stable according to the calculation: #x, #w, #y, #z


#w
Computed, not measured: an optimized crystal structure of Pm5PaIr4 at the GGA-PBE level of DFT.

Lattice parameters (Å, degrees): 9.1613 9.1613 7.9635 105.80 105.80 26.01
Closest atoms and distances in Å follow each position.
Sites, in units of the cell vectors:
Pm  0.0000  0.0000  0.0000  4 Ir 2.91
Pm  0.3313  0.3313  0.6425  4 Ir 2.86-2.91
Pm  0.3377  0.3377  0.1607  3 Ir 2.80-2.81
Pm  0.6623  0.6623  0.8393  3 Ir 2.80-2.81
Pm  0.6687  0.6687  0.3575  4 Ir 2.86-2.91
Pa  0.0000  0.0000  0.5000  6 Ir 2.82
Ir  0.1644  0.1644  0.6033  5 Pm 2.80-2.91, 1 Pa 2.82
Ir  0.4987  0.4987  0.7409  4 Pm 2.81-2.91, 2 Pa 2.82
Ir  0.5013  0.5013  0.2591  4 Pm 2.81-2.91, 2 Pa 2.82
Ir  0.8356  0.8356  0.3967  5 Pm 2.80-2.91, 1 Pa 2.82

## Properties
Total magnetization: 0.00 Bohr magnetons per cell
DOS at the Fermi energy: 6.02 states/eV/f.u.


#x
Computed, not measured: an optimized crystal structure of Pm5PaIr4 at the GGA-PBE level of DFT.

Lattice parameters (Å, degrees): 8.5166 8.5166 7.2507 104.21 104.21 31.01
Closest atoms and distances in Å follow each position.
Sites, in units of the cell vectors:
Pm  0.0000  0.0000  0.0000  6 Ir 3.06-3.14
Pm  0.3302  0.3302  0.9435  4 Ir 2.95-3.21
Pm  0.3310  0.3310  0.4400  3 Ir 2.90-2.98
Pm  0.6690  0.6690  0.5600  3 Ir 2.90-2.98
Pm  0.6698  0.6698  0.0565  4 Ir 2.95-3.21
Pa  0.0000  0.0000  0.5000  6 Ir 2.74-2.77
Ir  0.1449  0.1449  0.7886  1 Pa 2.74, 5 Pm 2.90-2.96
Ir  0.5002  0.5002  0.2823  2 Pa 2.77, 3 Pm 2.98-3.06
Ir  0.4998  0.4998  0.7177  2 Pa 2.77, 3 Pm 2.98-3.06
Ir  0.8551  0.8551  0.2114  1 Pa 2.74, 5 Pm 2.90-2.96

## Properties
Total magnetization: 0.00 Bohr magnetons per cell
DOS at the Fermi energy: 6.52 states/eV/f.u.


Order from most stable to least stable according to the calculation: #x, #w


#w
Computed, not measured: an optimized crystal structure of PmPaIrRh at the GGA-PBE level of DFT.

Lattice parameters (Å, degrees): 4.9250 4.9250 4.9250 60.00 60.00 60.00
Closest atoms and distances in Å follow each position.
Sites, in units of the cell vectors:
Pm  0.0000  0.0000  0.0000  4 Rh 3.02, 4 Ir 3.02
Pa  0.5000  0.5000  0.5000  4 Rh 3.02, 4 Ir 3.02
Ir  0.2500  0.2500  0.2500  4 Pa 3.02, 4 Pm 3.02
Rh  0.7500  0.7500  0.7500  4 Pa 3.02, 4 Pm 3.02

## Properties
Total magnetization: 0.01 Bohr magnetons per cell
DOS at the Fermi energy: 5.57 states/eV/f.u.


#x
Computed, not measured: an optimized crystal structure of PmPaIrRh at the GGA-PBE level of DFT.

Lattice parameters (Å, degrees): 4.1177 6.0330 6.0330 36.49 90.00 90.00
Closest atoms and distances in Å follow each position.
Sites, in units of the cell vectors:
Pm  0.0000  0.0000  0.0000  4 Rh 2.88, 1 Ir 2.96
Pa  0.5000  0.2688  0.2688  4 Ir 2.81, 2 Rh 3.02
Ir  0.0000  0.7417  0.7417  4 Pa 2.81, 2 Rh 2.91, 1 Pm 2.96
Rh  0.5000  0.5627  0.5627  4 Pm 2.88, 2 Ir 2.91, 2 Pa 3.02

## Properties
Total magnetization: 0.00 Bohr magnetons per cell
DOS at the Fermi energy: 2.55 states/eV/f.u.


Order from most stable to least stable according to the calculation: #x, #w


#w
Computed, not measured: an optimized crystal structure of PrPaIr2 at the GGA-PBE level of DFT.

Lattice parameters (Å, degrees): 7.5637 7.5637 7.5637 30.13 30.13 30.13
Closest atoms and distances in Å follow each position.
Sites, in units of the cell vectors:
Pr  0.0000  0.0000  0.0000  6 Ir 2.98-3.07
Pa  0.8288  0.8288  0.8288  6 Ir 2.76-2.80
Ir  0.2377  0.2377  0.2377  3 Pa 2.80, 3 Pr 3.07
Ir  0.4228  0.4228  0.4228  3 Pa 2.76, 3 Pr 2.98

## Properties
Total magnetization: 0.00 Bohr magnetons per cell
DOS at the Fermi energy: 1.55 states/eV/f.u.


#x
Computed, not measured: an optimized crystal structure of PrPaIr2 at the GGA-PBE level of DFT.

Lattice parameters (Å, degrees): 3.5091 3.5091 7.2289 90.00 90.00 90.00
Closest atoms and distances in Å follow each position.
Sites, in units of the cell vectors:
Pr  0.0000  0.0000  0.0000  8 Ir 3.27, 4 Pr 3.51, 2 Pa 3.61
Pa  0.0000  0.0000  0.5000  8 Ir 2.89
Ir  0.5000  0.5000  0.2943  4 Pa 2.89, 1 Ir 2.97
Ir  0.5000  0.5000  0.7057  4 Pa 2.89, 1 Ir 2.97

## Properties
Total magnetization: 0.00 Bohr magnetons per cell
DOS at the Fermi energy: 3.36 states/eV/f.u.


Order from most stable to least stable according to the calculation: #x, #w


#w
Computed, not measured: an optimized crystal structure of PrPaIr2 at the GGA-PBE level of DFT.

Lattice parameters (Å, degrees): 4.3460 5.7631 7.6902 90.00 90.00 90.00
Closest atoms and distances in Å follow each position.
Sites, in units of the cell vectors:
Pr  0.2500  0.2500  0.0815  6 Ir 3.01-3.09
Pr  0.7500  0.7500  0.9185  6 Ir 3.01-3.09
Pa  0.2500  0.7500  0.4194  6 Ir 2.77-2.83
Pa  0.7500  0.2500  0.5806  6 Ir 2.77-2.83
Ir  0.2500  0.0029  0.7256  3 Pa 2.77-2.83, 2 Ir 2.85-2.92, 3 Pr 3.01-3.09
Ir  0.2500  0.4971  0.7256  3 Pa 2.77-2.83, 2 Ir 2.85-2.92, 3 Pr 3.01-3.09
Ir  0.7500  0.5029  0.2744  3 Pa 2.77-2.83, 2 Ir 2.85-2.92, 3 Pr 3.01-3.09
Ir  0.7500  0.9971  0.2744  3 Pa 2.77-2.83, 2 Ir 2.85-2.92, 3 Pr 3.01-3.09

## Properties
Total magnetization: 0.00 Bohr magnetons per cell
DOS at the Fermi energy: 2.72 states/eV/f.u.


#x
Computed, not measured: an optimized crystal structure of PrPaIr2 at the GGA-PBE level of DFT.

Lattice parameters (Å, degrees): 7.2830 7.2830 7.2830 31.95 31.95 31.95
Closest atoms and distances in Å follow each position.
Sites, in units of the cell vectors:
Pr  0.0000  0.0000  0.0000  6 Ir 3.00
Pa  0.5000  0.5000  0.5000  6 Ir 2.78
Ir  0.2409  0.2409  0.2409  3 Pa 2.78, 3 Pr 3.00
Ir  0.7591  0.7591  0.7591  3 Pa 2.78, 3 Pr 3.00

## Properties
Total magnetization: 0.00 Bohr magnetons per cell
DOS at the Fermi energy: 1.98 states/eV/f.u.


Order from most stable to least stable according to the calculation: #w, #x